## LiCaWBr2 (GGA-PBE)

Data for a relaxed LiCaWBr2 crystal.

a b c (Å): 5.581 6.278 5.581
angles (deg): 90.00 90.00 90.00
Site moments in Bohr magnetons follow the coordinates.
Sites, in units of the cell vectors:
W: 0.000 0.500 0.000  3.42
Br: 0.500 0.000 0.000  0.02
Br: 0.000 0.000 0.500  0.02
Ca: 0.000 0.000 0.000  0.04
Li: 0.500 0.500 0.500  0.01

Computed properties:
DFT total energy   -18.02 eV per cell
E_form (uncorrected)   0.438 eV per atom
Symmetry   P4/mmm (123)